Computed, not measured: crystalline Fe2SiOsO at its relaxed geometry at the GGA+U level of DFT.

space group: No. 123
electronic total energy: -26.79 eV for the cell shown
size of the total moment: 9.57 Bohr magnetons per cell

Cell lengths 4.885, 4.885, 4.499 Å; angles 90.00, 90.00, 90.00 degrees
Positions (direct):
Fe  0.000  0.500  0.000
Fe  0.500  0.000  0.000
Si  0.000  0.000  0.500
Os  0.000  0.000  0.000
O  0.500  0.500  0.500